VASP calculation (PBE) on Li4PPd5 after structural relaxation.

```
Li4PPd5
1.0
4.546 0.000 0.000
2.273 5.992 0.000
2.273 0.000 5.992
Li P Pd
4 1 5
direct
0.476 0.304 0.696
0.779 0.696 0.696
0.172 0.304 0.304
0.476 0.696 0.304
0.083 0.000 0.000
0.802 0.372 0.000
0.174 0.000 0.628
0.802 0.000 0.372
0.174 0.628 0.000
0.573 0.000 0.000
```

Results
- DFT total energy (eV per formula unit) = -43.31
- formation energy (eV/atom) = -0.428
- symmetry = No. 107
- size of the total moment (μB/f.u.) = 0.0